! Li2TlAu3 (PBE, optimized geometry); values from VASP
&SYSTEM
  ibrav = 0, nat = 12, ntyp = 3
/
ATOMIC_SPECIES
Li 6.94 Li.upf
Tl 204.38 Tl.upf
Au 196.97 Au.upf
CELL_PARAMETERS angstrom
-3.6189 4.6696 2.8266
-4.0189 -3.9379 3.3515
3.5097 0.1009 4.3290
ATOMIC_POSITIONS angstrom
Li -1.8687 -1.8216 3.3499
Li -4.2094 -1.5971 5.2490
Li -2.2594 2.6542 7.1573
Li 0.0813 2.4296 5.2582
Tl -2.7973 3.4928 3.9822
Tl -1.3307 -2.6603 6.5250
Au -4.0511 0.6079 6.8586
Au -1.8317 0.1770 1.4839
Au -0.0770 0.2247 3.6486
Au -2.2964 0.6555 9.0233
Au -2.9327 0.5799 4.1598
Au -1.1954 0.2526 6.3473
! ΔH_f (0 K) ... -0.31 eV/atom
! VASP energy ... -35.75 eV for the cell shown
! Fermi-level density of states ... 0.2068 states/eV per atom
! Total magnetic moment ... 0.00 μB/f.u.
! Energy relative to the lowest polymorph listed for this composition ... 0.022 eV per atom

=====

! V2GeOs (PBE, optimized geometry); values from VASP
&SYSTEM
  ibrav = 0, nat = 4, ntyp = 3
/
ATOMIC_SPECIES
Ge 72.64 Ge.upf
Os 190.23 Os.upf
V 50.94 V.upf
CELL_PARAMETERS angstrom
-1.9143 -0.7737 -2.4141
-0.5042 -2.8485 1.3127
-4.3010 2.0328 2.7591
ATOMIC_POSITIONS angstrom
Ge -1.2093 -1.8111 -0.5507
Os -3.3597 -0.7947 0.8289
V -3.2940 1.5569 2.1132
V -1.0069 0.4759 0.6460
! ΔH_f (0 K) ... -0.11 eV/atom
! VASP energy ... -34.54 eV for the cell shown
! Fermi-level density of states ... 1.0902 states/eV per atom
! Total magnetic moment ... 0.00 μB/f.u.

=====

! BaScW2 (PBE, optimized geometry); values from VASP
&SYSTEM
  ibrav = 0, nat = 4, ntyp = 3
/
ATOMIC_SPECIES
Sc 44.96 Sc.upf
Ba 137.33 Ba.upf
W 183.84 W.upf
CELL_PARAMETERS angstrom
-4.0163 0.1584 2.9031
-0.7768 3.9117 2.9459
-3.6684 3.1777 -1.0143
ATOMIC_POSITIONS angstrom
Sc 0.0000 0.0000 0.0000
Ba -4.2307 3.6239 2.4173
W -2.1154 1.8119 1.2087
W -6.3461 5.4358 3.6260
! ΔH_f (0 K) ... 1.56 eV/atom
! VASP energy ... -27.94 eV for the cell shown
! Fermi-level density of states ... 1.7668 states/eV per atom
! Total magnetic moment ... 0.00 μB/f.u.
! Energy relative to the lowest polymorph listed for this composition ... 1.045 eV per atom

=====

! PmHoEr2S4 (PBE, optimized geometry); values from VASP
&SYSTEM
  ibrav = 0, nat = 8, ntyp = 4
/
ATOMIC_SPECIES
Pm 145.00 Pm.upf
Ho 164.93 Ho.upf
Er 167.26 Er.upf
S 32.06 S.upf
CELL_PARAMETERS angstrom
3.8679 0.0000 0.0000
0.0000 6.8151 -0.1731
0.0000 2.3624 6.3667
ATOMIC_POSITIONS angstrom
Pm 1.9340 5.7700 6.2801
Ho 0.0000 4.5888 3.0968
Er 0.0000 2.3624 6.3667
Er 1.9340 1.1812 3.1833
S 0.0001 6.9374 4.5794
S 3.8679 2.2402 1.6142
S 1.9340 5.7561 1.4842
S 1.9340 3.4214 4.7093
! VASP energy ... -50.76 eV for the cell shown
! Fermi-level density of states ... 0.5819 states/eV per atom
! Total magnetic moment ... 0.00 μB/f.u.
! Formation energy without anion corrections ... -1.98 eV/atom

=====

! CaEr4MgS8 (PBE, optimized geometry); values from VASP
&SYSTEM
  ibrav = 0, nat = 14, ntyp = 4
/
ATOMIC_SPECIES
Ca 40.08 Ca.upf
Er 167.26 Er.upf
Mg 24.30 Mg.upf
S 32.06 S.upf
CELL_PARAMETERS angstrom
8.0255 0.0000 0.0000
4.0128 6.9503 0.0000
4.0128 2.3168 6.4390
ATOMIC_POSITIONS angstrom
Ca 8.0255 4.6335 5.5568
Er 8.0255 4.6335 0.8769
Er 4.0128 4.5888 3.2406
Er 5.9804 1.1808 3.2406
Er 2.0451 1.1808 3.2406
Mg 4.0127 2.3168 6.3622
S 8.0255 7.1897 4.7876
S 10.2392 3.3554 4.7876
S 5.8118 3.3554 4.7876
S 4.0128 2.3168 1.8000
S 8.0255 2.1397 1.6360
S 5.8658 5.8804 1.6360
S 10.1852 5.8804 1.6360
S 12.0383 6.9503 4.7040
! VASP energy ... -81.77 eV for the cell shown
! Fermi-level density of states ... 0.0000 states/eV per atom
! Total magnetic moment ... 0.00 μB/f.u.
! Formation energy without anion corrections ... -1.92 eV/atom

=====

! TiMnNiRu (PBE, optimized geometry); values from VASP
&SYSTEM
  ibrav = 0, nat = 4, ntyp = 4
/
ATOMIC_SPECIES
Ru 101.07 Ru.upf
Mn 54.94 Mn.upf
Ti 47.87 Ti.upf
Ni 58.69 Ni.upf
CELL_PARAMETERS angstrom
-2.7493 -1.5426 2.8738
-2.0851 -3.6384 -0.7818
0.9660 -3.5264 2.1972
ATOMIC_POSITIONS angstrom
Ru -1.9342 -4.3537 2.1446
Mn -2.9013 -6.5306 3.2169
Ti -0.9671 -2.1769 1.0723
Ni 0.0000 0.0000 0.0000
! ΔH_f (0 K) ... -0.27 eV/atom
! VASP energy ... -33.18 eV for the cell shown
! Fermi-level density of states ... 0.7627 states/eV per atom
! Total magnetic moment ... 4.66 μB/f.u.